Record 1
Computed, not measured: a geometry-optimized Pa2BiN2 structure at the PBE level of DFT.

## Properties
- V (A^3/atom) = 19.821
- raw total energy (eV per atom) = -9.32

```
data_Pa2BiN2
_cell_length_a 3.9723
_cell_length_b 3.9723
_cell_length_c 12.5613
_cell_angle_alpha 90.00
_cell_angle_beta 90.00
_cell_angle_gamma 90.00
_space_group_name_H-M_alt 'I 4/m m m'
_space_group_IT_number 139
_space_group_name_Hall '-I 4 2'
loop_
_atom_site_label
_atom_site_type_symbol
_atom_site_fract_x
_atom_site_fract_y
_atom_site_fract_z
Pa1 Pa 0.0000 0.0000 0.1582
Bi1 Bi 0.0000 0.0000 0.5000
N1 N 0.0000 0.5000 0.2500
```


Record 2
Computed, not measured: a geometry-optimized Pa4Bi3N2 structure at the PBE level of DFT.

## Properties
- V (A^3/atom) = 24.427
- raw total energy (eV per atom) = -8.15

```
data_Pa4Bi3N2
_cell_length_a 13.6236
_cell_length_b 4.0222
_cell_length_c 9.0299
_cell_angle_alpha 90.00
_cell_angle_beta 117.30
_cell_angle_gamma 90.00
_space_group_name_H-M_alt 'C 1 2/m 1'
_space_group_IT_number 12
loop_
_space_group_symop_operation_xyz
'x,y,z'
'-x,-y,-z'
'-x,y,-z'
'x,-y,z'
'x+1/2,y+1/2,z'
'-x+1/2,-y+1/2,-z'
'-x+1/2,y+1/2,-z'
'x+1/2,-y+1/2,z'
loop_
_atom_site_label
_atom_site_type_symbol
_atom_site_fract_x
_atom_site_fract_y
_atom_site_fract_z
Pa1 Pa 0.1250 0.0000 0.4130
Pa2 Pa 0.1993 0.5000 0.1248
Bi1 Bi 0.0000 0.0000 0.0000
Bi2 Bi 0.0969 0.5000 0.7056
N1 N 0.1996 0.5000 0.3759
```


Record 3
Computed, not measured: a geometry-optimized Pa4BiPbN8 structure at the PBE level of DFT.

## Properties
- V (A^3/atom) = 17.968
- raw total energy (eV per atom) = -8.94

```
data_Pa4BiPbN8
_cell_length_a 7.1215
_cell_length_b 7.1215
_cell_length_c 17.1821
_cell_angle_alpha 90.00
_cell_angle_beta 90.00
_cell_angle_gamma 120.00
_space_group_name_H-M_alt 'R 3 m'
_space_group_IT_number 160
_space_group_name_Hall 'R 3 -2"'
loop_
_atom_site_label
_atom_site_type_symbol
_atom_site_fract_x
_atom_site_fract_y
_atom_site_fract_z
Pa1 Pa 0.0000 0.0000 0.0000
Pa2 Pa 0.1684 0.3368 0.2143
Bi1 Bi 0.0000 0.0000 0.3879
Pb1 Pb 0.0000 0.0000 0.7590
N1 N 0.0000 0.0000 0.1411
N2 N 0.0000 0.0000 0.6052
N3 N 0.0467 0.5233 0.1463
N4 N 0.1684 0.3368 0.9497
```


no.,total moment (μB per cell),formation energy (no corrections) (eV per formula unit)
1,2.0,-7.1
2,4.7,-7.1
3,3.4,-13.0